P.
The following is a DFT calculation (PBE) of a relaxed KNiHg2 crystal.

Cell: 3.187 3.625 8.132 Å, 90.00 90.12 90.00°
Fractional coordinates of all 4 atoms:
K (0.000, 0.000, 0.000)
Ni (0.000, 0.000, 0.500)
Hg (0.500, 0.500, 0.316)
Hg (0.500, 0.500, 0.684)

Computed properties:
Magnetic moment   0.00 μB/f.u.
Crystal system   monoclinic

***

Q.
The following is a DFT calculation (PBE) of a relaxed KNiHg2 crystal.

Cell: 5.154 5.154 3.580 Å, 90.00 90.00 90.00°
Fractional coordinates of all 4 atoms:
K (0.000, 0.000, 0.000)
Ni (0.500, 0.500, 0.000)
Hg (0.000, 0.500, 0.500)
Hg (0.500, 0.000, 0.500)

Computed properties:
Magnetic moment   0.00 μB/f.u.
Crystal system   tetragonal

***

R.
The following is a DFT calculation (PBE) of a relaxed KNiHg2 crystal.

Cell: 7.305 7.305 7.305 Å, 90.00 90.00 90.00°
Fractional coordinates of all 16 atoms:
K (0.000, 0.000, 0.000)
K (0.000, 0.500, 0.500)
K (0.500, 0.000, 0.500)
K (0.500, 0.500, 0.000)
Ni (0.000, 0.000, 0.500)
Ni (0.000, 0.500, 0.000)
Ni (0.500, 0.000, 0.000)
Ni (0.500, 0.500, 0.500)
Hg (0.250, 0.250, 0.250)
Hg (0.250, 0.250, 0.750)
Hg (0.250, 0.750, 0.250)
Hg (0.250, 0.750, 0.750)
Hg (0.750, 0.250, 0.250)
Hg (0.750, 0.250, 0.750)
Hg (0.750, 0.750, 0.250)
Hg (0.750, 0.750, 0.750)

Computed properties:
Magnetic moment   0.20 μB/f.u.
Crystal system   cubic

***

Each structure's energy above the most stable one, in meV/atom: P 0; Q 234; R 171.

***

P.
The following is a DFT calculation (PBE) of a relaxed KNiHg2 crystal.

Cell: 5.120 4.910 5.127 Å, 90.00 90.11 90.00°
Fractional coordinates of all 4 atoms:
K (0.000, 0.000, 0.000)
Ni (0.492, 0.500, 0.665)
Hg (0.499, 0.500, 0.160)
Hg (0.500, 0.000, 0.548)

Computed properties:
Magnetic moment   0.00 μB/f.u.
Crystal system   monoclinic

***

Q.
The following is a DFT calculation (PBE) of a relaxed KNiHg2 crystal.

Cell: 3.252 4.202 15.315 Å, 90.00 90.00 90.00°
Fractional coordinates of all 8 atoms:
K (0.000, 0.000, 0.000)
K (0.500, 0.500, 0.500)
Ni (0.000, 0.500, 0.699)
Ni (0.500, 0.000, 0.199)
Hg (0.000, 0.000, 0.344)
Hg (0.000, 0.500, 0.184)
Hg (0.500, 0.000, 0.684)
Hg (0.500, 0.500, 0.844)

Computed properties:
Magnetic moment   0.00 μB/f.u.
Crystal system   orthorhombic

***

Each structure's energy above the most stable one, in meV/atom: P 57; Q 0.

***

P.
The following is a DFT calculation (PBE) of a relaxed K4HgO crystal.

Cell: 5.477 7.938 11.022 Å, 90.00 104.34 90.00°
Fractional coordinates of all 12 atoms:
K (0.000, 0.000, 0.000)
K (0.000, 0.500, 0.000)
K (0.173, 0.022, 0.347)
K (0.173, 0.478, 0.347)
K (0.419, 0.750, 0.838)
K (0.581, 0.250, 0.162)
K (0.827, 0.522, 0.653)
K (0.827, 0.978, 0.653)
Hg (0.390, 0.250, 0.779)
Hg (0.610, 0.750, 0.221)
O (0.088, 0.250, 0.175)
O (0.912, 0.750, 0.825)

Computed properties:
Magnetic moment   0.00 μB/f.u.
Crystal system   monoclinic

***

Q.
The following is a DFT calculation (PBE) of a relaxed K4HgO crystal.

Cell: 4.966 4.967 8.408 Å, 89.81 89.90 90.00°
Fractional coordinates of all 6 atoms:
K (0.001, 0.001, 0.190)
K (0.499, 0.498, 0.810)
K (0.501, 0.502, 0.190)
K (0.999, 0.999, 0.810)
Hg (0.000, 0.500, 0.500)
O (0.500, 0.000, 0.000)

Computed properties:
Magnetic moment   0.01 μB/f.u.
Crystal system   triclinic

***

Each structure's energy above the most stable one, in meV/atom: P 0; Q 144.

***

P.
The following is a DFT calculation (PBE) of a relaxed K6HgO crystal.

Cell: 8.822 11.941 7.312 Å, 90.00 104.28 90.00°
Fractional coordinates of all 16 atoms:
K (0.120, 0.156, 0.254)
K (0.120, 0.844, 0.254)
K (0.238, 0.500, 0.114)
K (0.262, 0.000, 0.886)
K (0.380, 0.344, 0.746)
K (0.380, 0.656, 0.746)
K (0.620, 0.344, 0.254)
K (0.620, 0.656, 0.254)
K (0.738, 0.000, 0.114)
K (0.762, 0.500, 0.886)
K (0.880, 0.156, 0.746)
K (0.880, 0.844, 0.746)
Hg (0.000, 0.500, 0.500)
Hg (0.500, 0.000, 0.500)
O (0.000, 0.000, 0.000)
O (0.500, 0.500, 0.000)

Computed properties:
Magnetic moment   0.00 μB/f.u.
Crystal system   monoclinic

***

Q.
The following is a DFT calculation (PBE) of a relaxed K6HgO crystal.

Cell: 8.039 8.039 14.536 Å, 105.43 105.43 55.76°
Fractional coordinates of all 16 atoms:
K (0.009, 0.820, 0.607)
K (0.109, 0.343, 0.661)
K (0.180, 0.991, 0.893)
K (0.321, 0.386, 0.985)
K (0.343, 0.109, 0.161)
K (0.386, 0.321, 0.485)
K (0.614, 0.679, 0.515)
K (0.657, 0.891, 0.839)
K (0.679, 0.614, 0.015)
K (0.820, 0.009, 0.107)
K (0.891, 0.657, 0.339)
K (0.991, 0.180, 0.393)
Hg (0.381, 0.619, 0.250)
Hg (0.619, 0.381, 0.750)
O (0.000, 0.500, 0.500)
O (0.500, 0.000, 0.000)

Computed properties:
Magnetic moment   0.00 μB/f.u.
Crystal system   monoclinic

***

Each structure's energy above the most stable one, in meV/atom: P 0; Q 5.

***

P.
The following is a DFT calculation (PBE) of a relaxed K3HgO3 crystal.

Cell: 7.429 5.594 7.921 Å, 90.00 112.27 90.00°
Fractional coordinates of all 14 atoms:
K (0.059, 0.250, 0.380)
K (0.304, 0.250, 0.891)
K (0.420, 0.750, 0.632)
K (0.580, 0.250, 0.368)
K (0.696, 0.750, 0.109)
K (0.941, 0.750, 0.620)
Hg (0.214, 0.750, 0.157)
Hg (0.786, 0.250, 0.843)
O (0.088, 0.750, 0.345)
O (0.286, 0.750, 0.934)
O (0.448, 0.250, 0.637)
O (0.552, 0.750, 0.363)
O (0.714, 0.250, 0.066)
O (0.912, 0.250, 0.655)

Computed properties:
Magnetic moment   1.04 μB/f.u.
Crystal system   monoclinic

***

Q.
The following is a DFT calculation (PBE) of a relaxed K3HgO3 crystal.

Cell: 8.135 8.135 5.615 Å, 90.00 90.00 120.00°
Fractional coordinates of all 14 atoms:
K (0.082, 0.350, 0.250)
K (0.268, 0.918, 0.250)
K (0.350, 0.268, 0.750)
K (0.650, 0.732, 0.250)
K (0.732, 0.082, 0.750)
K (0.918, 0.650, 0.750)
Hg (0.333, 0.667, 0.750)
Hg (0.667, 0.333, 0.250)
O (0.091, 0.389, 0.750)
O (0.298, 0.909, 0.750)
O (0.389, 0.298, 0.250)
O (0.611, 0.702, 0.750)
O (0.702, 0.091, 0.250)
O (0.909, 0.611, 0.250)

Computed properties:
Magnetic moment   1.01 μB/f.u.
Crystal system   hexagonal

***

Each structure's energy above the most stable one, in meV/atom: P 0; Q 67.

***

P.
The following is a DFT calculation (PBE) of a relaxed K3HgO crystal.

Cell: 9.670 9.670 3.912 Å, 90.00 90.00 113.71°
Fractional coordinates of all 10 atoms:
K (0.136, 0.422, 0.500)
K (0.211, 0.789, 0.000)
K (0.422, 0.136, 0.500)
K (0.578, 0.864, 0.500)
K (0.789, 0.211, 0.000)
K (0.864, 0.578, 0.500)
Hg (0.000, 0.000, 0.500)
Hg (0.500, 0.500, 0.000)
O (0.000, 0.500, 0.000)
O (0.500, 0.000, 0.000)

Computed properties:
Magnetic moment   0.00 μB/f.u.
Crystal system   orthorhombic

***

Q.
The following is a DFT calculation (PBE) of a relaxed K3HgO crystal.

Cell: 5.443 5.443 5.443 Å, 90.00 90.00 90.00°
Fractional coordinates of all 5 atoms:
K (0.000, 0.000, 0.500)
K (0.000, 0.500, 0.000)
K (0.500, 0.000, 0.000)
Hg (0.500, 0.500, 0.500)
O (0.000, 0.000, 0.000)

Computed properties:
Magnetic moment   0.00 μB/f.u.
Crystal system   cubic

***

Each structure's energy above the most stable one, in meV/atom: P 0; Q 14.